Entry 1:
The following is a GGA-PBE calculation of a relaxed structure of BaSnTe2, from Alexandria.

- E_form (uncorrected) (meV per atom) = -903

Unit cell a=8.2819 b=8.2819 c=8.3718 alpha=90.00 beta=90.00 gamma=90.00
Space group I4/mcm (No. 140)
Asymmetric unit:
Ba1 0.0000 0.0000 0.2500 x4
Sn1 0.0000 0.5000 0.2500 x4
Te1 0.2030 0.2970 0.0000 x8

=====

Entry 2:
The following is a GGA-PBE calculation of a relaxed structure of K3Ca2SbO6, from Alexandria.

- E_form (uncorrected) (meV per atom) = -2062

Unit cell a=5.9344 b=10.2665 c=6.4969 alpha=90.00 beta=107.91 gamma=90.00
Space group C2/m (No. 12)
Asymmetric unit:
K1 0.0000 0.0000 0.0000 x2
K2 0.0000 0.3308 0.0000 x4
Ca1 0.0000 0.1665 0.5000 x4
Sb1 0.0000 0.5000 0.5000 x2
O1 0.2076 0.3544 0.6848 x8
O2 0.2282 0.5000 0.3153 x4

=====

Entry 3:
The following is a GGA-PBE calculation of a relaxed structure of PbAuSe2, from Alexandria.

- E_form (uncorrected) (meV per atom) = -43

Unit cell a=5.9855 b=5.9855 c=5.5767 alpha=90.00 beta=90.00 gamma=90.00
Space group I4/mmm (No. 139)
Asymmetric unit:
Pb1 0.0000 0.0000 0.0000 x2
Au1 0.0000 0.0000 0.5000 x2
Se1 0.0000 0.5000 0.0000 x4

=====

Entry 4:
The following is a GGA-PBE calculation of a relaxed structure of HfSi6Ru4, from Alexandria.

- E_form (uncorrected) (meV per atom) = -520

Unit cell a=8.8553 b=8.8580 c=8.9044 alpha=90.00 beta=90.00 gamma=90.00
Space group Fmm2 (No. 42)
Asymmetric unit:
Hf1 0.0000 0.0000 0.0000 x4
Si1 0.0000 0.1694 0.2951 x8
Si2 0.1691 0.0000 0.7038 x8
Si3 0.2500 0.2500 0.4993 x8
Ru1 0.0000 0.1837 0.5816 x8
Ru2 0.1836 0.0000 0.4171 x8

=====

Entry 5:
The following is a GGA-PBE calculation of a relaxed structure of Na2Zn2Hg, from Alexandria.

- total DFT energy (no corrections) (eV per cell) = -9.407

Unit cell a=4.3980 b=4.3980 c=13.2243 alpha=90.00 beta=90.00 gamma=90.00
Space group I4/mmm (No. 139)
Asymmetric unit:
Na1 0.0000 0.5000 0.2500 x4
Zn1 0.0000 0.0000 0.0922 x4
Hg1 0.0000 0.0000 0.5000 x2

=====

Entry 6:
The following is a GGA-PBE calculation of a relaxed structure of LiLaOs, from Alexandria.

- total DFT energy (no corrections) (eV per cell) = -71.569

Unit cell a=12.1871 b=4.4475 c=5.4207 alpha=90.00 beta=101.69 gamma=90.00
Space group C2/m (No. 12)
Asymmetric unit:
Li1 0.0868 0.0000 0.2824 x4
La1 0.1201 0.5000 0.8247 x4
Os1 0.2258 0.5000 0.4098 x4

=====

Short version: N(E_F) = 0.15; 0.00; 0.22; 0.36; 0.38; 0.76 states/eV/atom, in the order given.
Short version: M_tot = 0.00; 0.00; 0.00; 0.00; 0.00; 0.00 μB per formula unit, in the order given.